(1)
# ScNbB

A relaxed ScNbB crystal (PBE, OQMD via LeMat-Bulk).

a = 5.982 Å, b = 5.982 Å, c = 5.982 Å
α = 90.00°, β = 90.00°, γ = 90.00°
Positions (direct):
Sc 0.000 0.000 0.000
Sc 0.000 0.500 0.500
Sc 0.500 0.000 0.500
Sc 0.500 0.500 0.000
Nb 0.250 0.250 0.250
Nb 0.250 0.750 0.750
Nb 0.750 0.250 0.750
Nb 0.750 0.750 0.250
B 0.000 0.000 0.500
B 0.000 0.500 0.000
B 0.500 0.000 0.000
B 0.500 0.500 0.500

Summary:
distance to the lowest polymorph of the same formula: 0 meV/atom



(2)
# Ag3Mo

A relaxed Ag3Mo crystal (PBE, OQMD via LeMat-Bulk).

a = 4.774 Å, b = 5.885 Å, c = 4.987 Å
α = 90.00°, β = 90.00°, γ = 90.00°
Positions (direct):
Ag 0.250 0.001 0.167
Ag 0.250 0.250 0.666
Ag 0.250 0.499 0.167
Ag 0.750 0.501 0.833
Ag 0.750 0.750 0.334
Ag 0.750 0.999 0.833
Mo 0.250 0.750 0.663
Mo 0.750 0.250 0.337

Summary:
calculated formation energy: 0.64 eV/atom



(3)
# CuAg6

A relaxed CuAg6 crystal (PBE, OQMD via LeMat-Bulk).

a = 9.145 Å, b = 4.083 Å, c = 6.477 Å
α = 90.00°, β = 98.41°, γ = 90.00°
Positions (direct):
Cu 0.000 0.000 0.000
Cu 0.500 0.500 0.000
Ag 0.070 0.500 0.721
Ag 0.142 0.000 0.423
Ag 0.213 0.500 0.138
Ag 0.287 0.000 0.862
Ag 0.358 0.500 0.577
Ag 0.430 0.000 0.279
Ag 0.570 0.000 0.721
Ag 0.642 0.500 0.423
Ag 0.713 0.000 0.138
Ag 0.787 0.500 0.862
Ag 0.858 0.000 0.577
Ag 0.930 0.500 0.279

Summary:
calculated formation energy: 0.04 eV/atom
distance to the lowest polymorph of the same formula: 15 meV/atom



(4)
# Ni6BrN2

A relaxed Ni6BrN2 crystal (PBE, OQMD via LeMat-Bulk).

a = 5.849 Å, b = 5.849 Å, c = 3.511 Å
α = 90.00°, β = 90.00°, γ = 120.00°
Positions (direct):
Ni 0.000 0.355 0.000
Ni 0.000 0.623 0.500
Ni 0.355 0.000 0.000
Ni 0.377 0.377 0.500
Ni 0.623 0.000 0.500
Ni 0.645 0.645 0.000
Br 0.000 0.000 0.500
N 0.333 0.667 0.000
N 0.667 0.333 0.000

Summary:
total energy: -5.07 eV per atom



(5)
# DyYSbBr2

A relaxed DyYSbBr2 crystal (PBE, OQMD via LeMat-Bulk).

a = 4.221 Å, b = 4.221 Å, c = 10.801 Å
α = 90.00°, β = 90.00°, γ = 120.00°
Positions (direct):
Dy 0.000 0.000 0.000
Y 0.333 0.667 0.321
Sb 0.667 0.333 0.160
Br 0.000 0.000 0.479
Br 0.333 0.667 0.842

Summary:
total energy: -5.18 eV per atom



(6)
# AlReHg

A relaxed AlReHg crystal (PBE, OQMD via LeMat-Bulk).

a = 6.053 Å, b = 6.053 Å, c = 6.053 Å
α = 90.00°, β = 90.00°, γ = 90.00°
Positions (direct):
Al 0.000 0.000 0.000
Al 0.000 0.500 0.500
Al 0.500 0.000 0.500
Al 0.500 0.500 0.000
Re 0.250 0.250 0.250
Re 0.250 0.750 0.750
Re 0.750 0.250 0.750
Re 0.750 0.750 0.250
Hg 0.250 0.250 0.750
Hg 0.250 0.750 0.250
Hg 0.750 0.250 0.250
Hg 0.750 0.750 0.750

Summary:
distance to the lowest polymorph of the same formula: 0 meV/atom



What did the first record say?
# ScNbB

A relaxed ScNbB crystal (PBE, OQMD via LeMat-Bulk).

a = 5.982 Å, b = 5.982 Å, c = 5.982 Å
α = 90.00°, β = 90.00°, γ = 90.00°
Positions (direct):
Sc 0.000 0.000 0.000
Sc 0.000 0.500 0.500
Sc 0.500 0.000 0.500
Sc 0.500 0.500 0.000
Nb 0.250 0.250 0.250
Nb 0.250 0.750 0.750
Nb 0.750 0.250 0.750
Nb 0.750 0.750 0.250
B 0.000 0.000 0.500
B 0.000 0.500 0.000
B 0.500 0.000 0.000
B 0.500 0.500 0.500

Summary:
distance to the lowest polymorph of the same formula: 0 meV/atom